1.
Entry from Alexandria: a relaxed SbTeMo2 crystal (GGA-PBEsol).

Unit cell a=3.331 b=4.844 c=5.016 alpha=106.23 beta=109.39 gamma=90.00
Fractional coordinates of all 4 atoms:
Mo 0.003 0.945 0.006
Mo 0.748 0.313 0.496
Te 0.260 0.801 0.519
Sb 0.489 0.441 0.979

- SG: Cm
- Crystal system: monoclinic
- E_form (uncorrected): 0.219 eV per atom
- Energy relative to the lowest polymorph listed for this composition: 15 meV/atom
- Uncorrected energy: -7.69 eV per atom

=====

2.
Entry from Alexandria: a relaxed Al2S3O12 crystal (GGA-PBEsol).

Unit cell a=8.057 b=8.057 c=8.539 alpha=61.85 beta=61.85 gamma=60.00
Fractional coordinates of all 34 atoms:
O 0.736 0.889 0.272
Al 0.352 0.352 0.945
O 0.793 0.622 0.577
S 0.461 0.036 0.752
O 0.772 0.480 0.905
O 0.103 0.736 0.272
O 0.475 0.185 0.794
O 0.897 0.264 0.728
O 0.525 0.815 0.206
O 0.546 0.475 0.794
S 0.539 0.964 0.248
O 0.992 0.207 0.423
O 0.480 0.843 0.905
O 0.185 0.546 0.794
S 0.248 0.539 0.248
O 0.815 0.454 0.206
Al 0.856 0.856 0.431
O 0.889 0.103 0.272
O 0.843 0.772 0.905
S 0.036 0.752 0.752
O 0.520 0.157 0.095
S 0.752 0.461 0.752
O 0.228 0.520 0.095
O 0.157 0.228 0.095
O 0.264 0.111 0.728
S 0.964 0.248 0.248
O 0.008 0.793 0.577
O 0.378 0.992 0.423
Al 0.648 0.648 0.055
O 0.454 0.525 0.206
Al 0.144 0.144 0.569
O 0.111 0.897 0.728
O 0.622 0.008 0.577
O 0.207 0.378 0.423

- SG: R-3
- Crystal system: trigonal
- E_form (uncorrected): -1.907 eV per atom
- Uncorrected energy: -6.87 eV per atom

=====

3.
Entry from Alexandria: a relaxed LiTc2Ru crystal (GGA-PBEsol).

Unit cell a=2.607 b=2.607 c=9.175 alpha=90.00 beta=90.00 gamma=115.48
Fractional coordinates of all 4 atoms:
Ru 0.500 0.500 0.000
Tc 0.000 0.000 0.241
Li 0.500 0.500 0.500
Tc 0.000 0.000 0.759

- DFT formation energy: 0.37 eV/atom
- SG: Cmmm
- Crystal system: orthorhombic
- Energy relative to the lowest polymorph listed for this composition: 170 meV/atom
- Uncorrected energy: -8.30 eV per atom

=====

4.
Entry from Alexandria: a relaxed KRbIn4Au8 crystal (GGA-PBEsol).

Unit cell a=7.425 b=7.425 c=7.425 alpha=108.41 beta=108.41 gamma=111.62
Fractional coordinates of all 14 atoms:
Au 0.568 0.062 0.800
Au 0.432 0.232 0.494
In 0.896 0.396 0.791
Au 0.062 0.262 0.494
Au 0.232 0.738 0.800
In 0.104 0.896 0.500
Au 0.768 0.568 0.506
In 0.396 0.604 0.500
In 0.604 0.104 0.209
Au 0.262 0.768 0.200
Rb 0.500 0.500 0.000
K 0.000 0.000 0.000
Au 0.938 0.432 0.200
Au 0.738 0.938 0.506

- DFT formation energy: -0.26 eV/atom
- SG: I422
- Crystal system: tetragonal
- Uncorrected energy: -3.51 eV per atom

=====

5.
Entry from Alexandria: a relaxed LiFeCuO4 crystal (GGA-PBEsol).

Unit cell a=5.528 b=5.933 c=5.444 alpha=117.31 beta=90.00 gamma=117.76
Site moments in Bohr magnetons follow the coordinates.
Fractional coordinates of all 14 atoms:
Cu 0.500 0.500 0.000  -0.15
Fe 0.500 0.000 0.000  1.89
O 0.290 0.581 0.267  -0.06
O 0.710 0.419 0.186  -0.06
O 0.286 0.022 0.261  0.14
Fe 0.500 0.000 0.500  1.89
Li 0.146 0.292 0.396  0.00
Li 0.854 0.708 0.604  0.00
Cu 0.000 0.500 0.000  -0.15
O 0.264 0.978 0.739  0.14
O 0.290 0.581 0.814  -0.06
O 0.736 0.022 0.261  0.14
O 0.714 0.978 0.739  0.14
O 0.710 0.419 0.733  -0.06

- SG: Imma
- Crystal system: orthorhombic
- E_form (uncorrected): -1.207 eV per atom
- Uncorrected energy: -6.39 eV per atom

=====

6.
Entry from Alexandria: a relaxed CdCo3Ag crystal (GGA-PBEsol).

Unit cell a=4.551 b=4.551 c=4.551 alpha=90.00 beta=90.00 gamma=90.00
Site moments in Bohr magnetons follow the coordinates.
Fractional coordinates of all 5 atoms:
Cd 0.500 0.500 0.500  -0.03
Co 0.500 0.000 0.000  1.86
Ag 0.000 0.000 0.000  0.08
Co 0.000 0.500 0.000  1.86
Co 0.000 0.000 0.500  1.86

- DFT formation energy: 1.66 eV/atom
- SG: Pm-3m
- Crystal system: cubic
- Uncorrected energy: -3.88 eV per atom

=====

7.
Entry from Alexandria: a relaxed BaH9IO5 crystal (GGA-PBEsol).

Unit cell a=6.184 b=7.907 c=8.064 alpha=88.66 beta=89.07 gamma=72.54
Fractional coordinates of all 32 atoms:
H 0.822 0.540 0.678
Ba 0.327 0.783 0.457
O 0.986 0.355 0.692
O 0.335 0.072 0.658
I 0.325 0.786 0.996
H 0.178 0.460 0.322
O 0.686 0.505 0.332
O 0.314 0.495 0.668
H 0.821 0.557 0.319
H 0.665 0.464 0.221
H 0.993 0.111 0.223
H 0.630 0.685 0.785
Ba 0.673 0.217 0.543
O 0.060 0.106 0.334
H 0.643 0.978 0.228
H 0.370 0.315 0.215
H 0.193 0.182 0.667
I 0.675 0.214 0.004
O 0.014 0.645 0.308
O 0.708 0.669 0.675
H 0.007 0.889 0.777
H 0.955 0.331 0.809
H 0.807 0.818 0.333
H 0.179 0.443 0.681
O 0.940 0.894 0.666
O 0.292 0.331 0.325
H 0.335 0.536 0.779
H 0.357 0.022 0.772
O 0.665 0.928 0.342
H 0.045 0.669 0.191
H 0.148 0.197 0.329
H 0.852 0.803 0.671

- SG: P-1
- Crystal system: triclinic
- Uncorrected energy: -5.01 eV per atom

=====

8.
Entry from Alexandria: a relaxed La2AuCl crystal (GGA-PBEsol).

Unit cell a=5.123 b=5.123 c=5.123 alpha=60.00 beta=60.00 gamma=60.00
Fractional coordinates of all 4 atoms:
La 0.750 0.750 0.750
Au 0.500 0.500 0.500
La 0.000 0.000 0.000
Cl 0.250 0.250 0.250

- SG: F-43m
- Crystal system: cubic
- E_form (uncorrected): -0.350 eV per atom
- Energy relative to the lowest polymorph listed for this composition: 856 meV/atom
- Uncorrected energy: -4.51 eV per atom

=====

9.
Entry from Alexandria: a relaxed ZrGaTe3 crystal (GGA-PBEsol).

Unit cell a=5.187 b=5.187 c=5.187 alpha=90.00 beta=90.00 gamma=90.00
Site moments in Bohr magnetons follow the coordinates.
Fractional coordinates of all 5 atoms:
Te 0.500 0.000 0.000  -0.04
Te 0.000 0.000 0.500  -0.04
Te 0.000 0.500 0.000  -0.04
Ga 0.000 0.000 0.000  0.00
Zr 0.500 0.500 0.500  0.50

- SG: Pm-3m
- Crystal system: cubic
- E_form (uncorrected): 0.377 eV per atom
- Uncorrected energy: -4.22 eV per atom

=====

10.
Entry from Alexandria: a relaxed SiSbAs crystal (GGA-PBEsol).

Unit cell a=4.623 b=4.623 c=4.623 alpha=60.00 beta=60.00 gamma=60.00
Fractional coordinates of all 3 atoms:
As 0.250 0.250 0.250
Si 0.500 0.500 0.500
Sb 0.000 0.000 0.000

- SG: F-43m
- Crystal system: cubic
- E_form (uncorrected): 0.584 eV per atom
- Uncorrected energy: -4.55 eV per atom

=====

11.
Entry from Alexandria: a relaxed CaPtAu2 crystal (GGA-PBEsol).

Unit cell a=4.106 b=4.106 c=5.139 alpha=113.55 beta=113.55 gamma=90.00
Fractional coordinates of all 4 atoms:
Au 0.000 0.000 0.000
Pt 0.750 0.250 0.500
Ca 0.500 0.500 0.000
Au 0.250 0.750 0.500

- DFT formation energy: -0.53 eV/atom
- SG: I-4m2
- Crystal system: tetragonal
- Energy relative to the lowest polymorph listed for this composition: 34 meV/atom
- Uncorrected energy: -4.76 eV per atom

=====

12.
Entry from Alexandria: a relaxed ScPtW2 crystal (GGA-PBEsol).

Unit cell a=2.743 b=2.743 c=8.662 alpha=90.00 beta=90.00 gamma=90.00
Fractional coordinates of all 4 atoms:
W 0.500 0.500 0.266
W 0.000 0.000 0.008
Sc 0.500 0.500 0.738
Pt 0.000 0.000 0.489

- DFT formation energy: -0.12 eV/atom
- SG: P4mm
- Crystal system: tetragonal
- Uncorrected energy: -10.41 eV per atom